{
  "formula": "CsKRb4",
  "functional": "PBE-GGA",
  "state": "relaxed",
  "delta_e_f_ev_per_atom": 0.004,
  "e_above_lowest_polymorph_mev_per_atom": 0,
  "energy_ev_per_atom": -0.9662,
  "space_group": "Pm (6)",
  "dos_ef_per_ev_cell": 4.825,
  "lattice": [[7.2837, 0.0000, 0.0000], [0.0000, 7.2013, 0.0000], [-3.5634, 0.0000, 10.4670]],
  "species": ["Cs", "K", "Rb", "Rb", "Rb", "Rb"],
  "fractional_positions": [[0.0000, 0.0000, 0.0000], [0.8319, 0.5000, 0.6644], [0.1754, 0.5000, 0.3507], [0.3328, 0.0000, 0.6658], [0.4999, 0.5000, 0.0000], [0.6756, 0.0000, 0.3511]]
}